# 1
## TmGaBi2 (GGA-PBE)

Data for a relaxed TmGaBi2 crystal.

Cell lengths 8.2745, 8.2745, 8.2745 Å; angles 29.00, 29.00, 29.00 degrees
Closest atoms and distances in Å follow each position.
Sites, in units of the cell vectors:
Tm  0.0000  0.0000  0.0000  6 Bi 3.18
Ga  0.5000  0.5000  0.5000  6 Bi 3.03
Bi  0.2450  0.2450  0.2450  3 Ga 3.03, 3 Tm 3.18
Bi  0.7550  0.7550  0.7550  3 Ga 3.03, 3 Tm 3.18

**SG**: R-3m (166)
**Energy relative to the elements**: -0.609 eV/f.u.
**Energy above the lowest structure with this stoichiometry**: 164 meV per atom
**Final energy**: -3.9674 eV per atom

---

# 2
## TcCl3 (GGA-PBE)

Data for a relaxed TcCl3 crystal.

Cell lengths 8.8428, 8.8428, 3.2262 Å; angles 90.00, 90.00, 102.01 degrees
Closest atoms and distances in Å follow each position.
Sites, in units of the cell vectors:
Tc  0.2073  0.7927  0.7500  6 Cl 2.43-2.45
Tc  0.7927  0.2073  0.2500  6 Cl 2.43-2.45
Cl  0.0002  0.2774  0.7500  2 Tc 2.43
Cl  0.9998  0.7226  0.2500  2 Tc 2.43
Cl  0.2774  0.0002  0.2500  2 Tc 2.43
Cl  0.3411  0.6589  0.2500  2 Tc 2.45
Cl  0.6589  0.3411  0.7500  2 Tc 2.45
Cl  0.7226  0.9998  0.7500  2 Tc 2.43

**SG**: Cmcm (63)
**Raw formation energy**: -355.4 meV per atom
**Energy above the lowest structure with this stoichiometry**: 357 meV per atom
**Final energy**: -4.3318 eV per atom

---

# 3
## Sm7Tl2Cd2 (GGA-PBE)

Data for a relaxed Sm7Tl2Cd2 crystal.

Cell lengths 6.8849, 6.8849, 8.1727 Å; angles 90.00, 90.00, 110.60 degrees
Closest atoms and distances in Å follow each position.
Sites, in units of the cell vectors:
Sm  0.0000  0.0000  0.0000  2 Tl 3.36
Sm  0.0000  0.5000  0.2920  2 Tl 3.13, 2 Cd 3.35, 3 Sm 3.40-3.45
Sm  0.0000  0.5000  0.7080  2 Tl 3.13, 2 Cd 3.35, 3 Sm 3.40-3.45
Sm  0.5000  0.0000  0.2920  2 Tl 3.13, 2 Cd 3.35, 3 Sm 3.40-3.45
Sm  0.5000  0.0000  0.7080  2 Tl 3.13, 2 Cd 3.35, 3 Sm 3.40-3.45
Sm  0.5000  0.5000  0.2697  2 Cd 3.17, 2 Tl 3.18, 4 Sm 3.45
Sm  0.5000  0.5000  0.7303  2 Cd 3.17, 2 Tl 3.18, 4 Sm 3.45
Tl  0.2971  0.7029  0.0000  7 Sm 3.13-3.36
Tl  0.7029  0.2971  0.0000  7 Sm 3.13-3.36
Cd  0.1740  0.1740  0.5000  1 Cd 2.73
Cd  0.8260  0.8260  0.5000  1 Cd 2.73

**SG**: Cmmm (65)
**Energy relative to the elements**: 0.032 eV/f.u.
**Final energy**: -3.5968 eV per atom

---

# 4
## Cd2Pd5Pt3 (GGA-PBE)

Data for a relaxed Cd2Pd5Pt3 crystal.

Cell lengths 4.0508, 4.8908, 8.9826 Å; angles 89.24, 89.98, 65.77 degrees
Closest atoms and distances in Å follow each position.
Sites, in units of the cell vectors:
Cd  0.1946  0.1099  0.1071  6 Pd 2.81-2.90, 4 Pt 2.82-2.93, 2 Cd 2.96-2.97
Cd  0.8054  0.8901  0.8929  6 Pd 2.81-2.90, 4 Pt 2.82-2.93, 2 Cd 2.96-2.97
Pd  0.2995  0.8999  0.4030  6 Pd 2.77-2.87, 1 Cd 2.81, 5 Pt 2.82-2.84
Pd  0.4061  0.6893  0.6949  5 Pd 2.77-2.87, 5 Pt 2.81-2.85, 2 Cd 2.85
Pd  0.5000  0.5000  0.0000  6 Cd 2.83-2.90, 2 Pd 2.86, 4 Pt 2.91
Pd  0.5939  0.3107  0.3051  5 Pd 2.77-2.87, 5 Pt 2.81-2.85, 2 Cd 2.85
Pd  0.7005  0.1001  0.5970  6 Pd 2.77-2.87, 1 Cd 2.81, 5 Pt 2.82-2.84
Pt  0.0000  0.5000  0.5000  2 Pt 2.77, 10 Pd 2.81-2.84
Pt  0.1036  0.2945  0.7925  1 Pt 2.77, 7 Pd 2.81-2.91, 4 Cd 2.82-2.93
Pt  0.8964  0.7055  0.2075  1 Pt 2.77, 7 Pd 2.81-2.91, 4 Cd 2.82-2.93

**SG**: P-1 (2)
**Energy relative to the elements**: -1.732 eV/f.u.
**Final energy**: -4.7648 eV per atom

---

# 5
## Sr2Hg2Pb (GGA-PBE)

Data for a relaxed Sr2Hg2Pb crystal.

Cell lengths 6.3387, 6.3387, 5.0280 Å; angles 113.18, 113.18, 66.70 degrees
Closest atoms and distances in Å follow each position.
Sites, in units of the cell vectors:
Sr  0.2117  0.2117  0.2107  6 Hg 3.37-3.52, 2 Pb 3.67-3.70
Sr  0.7883  0.7883  0.7893  6 Hg 3.37-3.52, 2 Pb 3.67-3.70
Hg  0.2098  0.7902  0.5000  1 Hg 2.92, 2 Pb 3.23
Hg  0.7902  0.2098  0.5000  1 Hg 2.92, 2 Pb 3.23
Pb  0.5000  0.5000  0.0000  4 Hg 3.23

**SG**: C2/m (12)
**Energy relative to the elements**: -2.314 eV/f.u.
**Energy above the lowest structure with this stoichiometry**: 22 meV per atom
**Final energy**: -1.9980 eV per atom

---

# 6
## Zn2OsSe (GGA-PBE)

Data for a relaxed Zn2OsSe crystal.

Cell lengths 10.0302, 10.0302, 10.0302 Å; angles 15.95, 15.95, 15.95 degrees
Closest atoms and distances in Å follow each position.
Sites, in units of the cell vectors:
Zn  0.2386  0.2386  0.2386  3 Os 2.67, 6 Zn 2.78
Zn  0.7614  0.7614  0.7614  3 Os 2.67, 6 Zn 2.78
Os  0.5000  0.5000  0.5000  6 Zn 2.67, 6 Os 2.78
Se  0.0000  0.0000  0.0000  6 Se 2.78

**SG**: R-3m (166)
**Raw formation energy**: 335.5 meV per atom
**Final energy**: -3.9801 eV per atom

---

It is found that the volume values, taken in the order of the records, are 117.78; 246.75; 362.62; 162.26; 163.66; 66.39 Å³ per cell.